VASP calculation (PBE) on a relaxed Tc4RuRh crystal.

Its formation energy is 0.0954 eV per atom. The value obtained for the energy relative to the lowest polymorph listed for this composition is 0 meV per atom.

abc: 4.317 13.856 6.932
angles: 143.65 71.85 128.56
Fractional positions:
Tc  0.237  0.865  0.991
Tc  0.754  0.625  0.991
Tc  0.168  0.667  0.333
Tc  0.832  0.333  0.667
Tc  0.835  0.834  0.667
Tc  0.246  0.375  0.009
Tc  0.165  0.166  0.333
Tc  0.763  0.135  0.009
Ru  0.331  0.581  0.662
Ru  0.669  0.419  0.338
Rh  0.336  0.086  0.672
Rh  0.664  0.914  0.328



VASP calculation (PBE) on a relaxed BaSn crystal.

Its formation energy is -0.7040 eV per atom.

abc: 4.726 5.353 6.921
angles: 112.80 90.00 90.00
Fractional positions:
Ba  0.250  0.864  0.729
Ba  0.750  0.136  0.271
Sn  0.250  0.573  0.146
Sn  0.750  0.427  0.854



VASP calculation (PBE) on a relaxed AcSm5Tl6 crystal.

Its formation energy is -0.3598 eV per atom.

abc: 5.539 9.572 9.591
angles: 60.06 73.16 54.50
Fractional positions:
Ac  0.000  0.000  0.000
Sm  0.500  0.162  0.677
Sm  0.000  0.330  0.339
Sm  0.500  0.500  0.000
Sm  0.000  0.670  0.661
Sm  0.500  0.838  0.323
Tl  0.741  0.087  0.343
Tl  0.259  0.570  0.343
Tl  0.231  0.268  0.000
Tl  0.769  0.732  0.000
Tl  0.741  0.430  0.657
Tl  0.259  0.913  0.657



VASP calculation (PBE) on a relaxed LiBeF3 crystal.

As for the energy relative to the elements, uncorrected: -1.764 eV/atom. The value obtained for the energy relative to the lowest polymorph listed for this composition is 1392 meV per atom.

abc: 3.548 3.548 3.548
angles: 90.00 90.00 90.00
Fractional positions:
Be  0.500  0.500  0.500
Li  0.000  0.000  0.000
F  0.000  0.500  0.000
F  0.000  0.000  0.500
F  0.500  0.000  0.000



VASP calculation (PBE) on a relaxed SiNiGeW2 crystal.

As for the energy relative to the elements, uncorrected: 1.036 eV/atom.

abc: 4.584 4.033 4.584
angles: 90.00 90.00 90.00
Fractional positions:
Ni  0.000  0.500  0.000
Ge  0.500  0.500  0.500
Si  0.000  0.000  0.000
W  0.000  0.000  0.500
W  0.500  0.000  0.000



VASP calculation (PBE) on a relaxed Er4SiBiSe2 crystal.

As for the energy relative to the elements, uncorrected: -1.258 eV/atom.

abc: 4.164 7.181 7.298
angles: 70.55 90.00 90.00
Fractional positions:
Er  0.000  0.751  0.730
Er  0.000  0.249  0.270
Er  0.500  0.741  0.269
Er  0.500  0.259  0.731
Si  0.000  0.500  0.500
Bi  0.500  0.500  0.000
Se  0.000  0.000  0.000
Se  0.500  0.000  0.500



Quick rundown of V, same order as above: 14.60 40.35 29.90 8.93 16.95 25.72 A^3/atom